Record 1
VASP calculation (meta-GGA SCAN) on a crystal of Bi14Mo5O36 relaxed with PBEsol.

CIF file:
```
data_Bi14Mo5O36
_cell_length_a 17.4133
_cell_length_b 17.4133
_cell_length_c 8.5647
_cell_angle_alpha 99.38
_cell_angle_beta 99.38
_cell_angle_gamma 18.62
_symmetry_space_group_name_H-M 'P 1'
_symmetry_Int_Tables_number 1
_symmetry_space_group_name_Hall 'P 1'
loop_
_atom_site_label
_atom_site_fract_x
_atom_site_fract_y
_atom_site_fract_z
_atom_site_occupancy
Bi1 0.0206 0.0323 0.3251 1
Bi2 0.1292 0.1292 0.5577 1
Bi3 0.1542 0.2070 0.2282 1
Bi4 0.2075 0.2740 0.8161 1
Bi5 0.2123 0.3661 0.4662 1
Bi6 0.3963 0.3947 0.7304 1
Bi7 0.4417 0.4554 0.3877 1
Bi8 0.5446 0.5583 0.6123 1
Bi9 0.6053 0.6037 0.2696 1
Bi10 0.6339 0.7877 0.5338 1
Bi11 0.7260 0.7925 0.1839 1
Bi12 0.7930 0.8458 0.7718 1
Bi13 0.8708 0.8708 0.4423 1
Bi14 0.9677 0.9794 0.6749 1
Mo1 0.0803 0.0771 0.9413 1
Mo2 0.2854 0.3909 0.0974 1
Mo3 0.4996 0.5004 0.0000 1
Mo4 0.6091 0.7146 0.9026 1
Mo5 0.9229 0.9197 0.0587 1
O1 0.9999 0.5347 0.6579 1
O2 0.0178 0.5919 0.0280 1
O3 0.0809 0.6834 0.9823 1
O4 0.0917 0.6029 0.6134 1
O5 0.1171 0.8004 0.1875 1
O6 0.1612 0.6856 0.5565 1
O7 0.1996 0.8829 0.8125 1
O8 0.2404 0.5057 0.2682 1
O9 0.2604 0.7396 0.5000 1
O10 0.2664 0.1263 0.6312 1
O11 0.2863 0.6376 0.8912 1
O12 0.3144 0.8388 0.4435 1
O13 0.3166 0.9191 0.0177 1
O14 0.3624 0.7137 0.1088 1
O15 0.3971 0.9083 0.3866 1
O16 0.4081 0.9822 0.9720 1
O17 0.4426 0.1687 0.1823 1
O18 0.4625 0.2317 0.9296 1
O19 0.4653 0.0001 0.3421 1
O20 0.4943 0.7596 0.7318 1
O21 0.5179 0.0161 0.6905 1
O22 0.5988 0.0977 0.6126 1
O23 0.6538 0.1964 0.5639 1
O24 0.6612 0.3043 0.1454 1
O25 0.6957 0.3388 0.8546 1
O26 0.7098 0.0929 0.1844 1
O27 0.7563 0.2437 0.5000 1
O28 0.7683 0.5375 0.0704 1
O29 0.7813 0.0826 0.8871 1
O30 0.8036 0.3462 0.4361 1
O31 0.8313 0.5574 0.8177 1
O32 0.8737 0.7336 0.3688 1
O33 0.9023 0.4012 0.3874 1
O34 0.9071 0.2902 0.8156 1
O35 0.9174 0.2187 0.1129 1
O36 0.9839 0.4821 0.3095 1
```

The calculation puts the total energy at -28.83 eV per atom.

***

Record 2
VASP calculation (meta-GGA SCAN) on a crystal of Bi2MoO6 relaxed with PBEsol.

CIF file:
```
data_Bi2MoO6
_cell_length_a 5.3170
_cell_length_b 16.6518
_cell_length_c 5.3494
_cell_angle_alpha 90.00
_cell_angle_beta 90.00
_cell_angle_gamma 90.00
_symmetry_space_group_name_H-M 'P 1'
_symmetry_Int_Tables_number 1
_symmetry_space_group_name_Hall 'P 1'
loop_
_atom_site_label
_atom_site_fract_x
_atom_site_fract_y
_atom_site_fract_z
_atom_site_occupancy
Bi1 0.0623 0.1718 0.0181 1
Bi2 0.0623 0.3282 0.5181 1
Bi3 0.4377 0.6718 0.0181 1
Bi4 0.4377 0.8282 0.5181 1
Bi5 0.5623 0.1718 0.4819 1
Bi6 0.5623 0.3282 0.9819 1
Bi7 0.9377 0.6718 0.4819 1
Bi8 0.9377 0.8282 0.9819 1
Mo1 0.0000 0.0000 0.5000 1
Mo2 0.0000 0.5000 0.0000 1
Mo3 0.5000 0.0000 0.0000 1
Mo4 0.5000 0.5000 0.5000 1
O1 0.0043 0.1103 0.4303 1
O2 0.0043 0.3897 0.9303 1
O3 0.2008 0.7485 0.7548 1
O4 0.2008 0.7515 0.2548 1
O5 0.2120 0.0166 0.7932 1
O6 0.2120 0.4834 0.2932 1
O7 0.2880 0.5166 0.7932 1
O8 0.2880 0.9834 0.2932 1
O9 0.2992 0.2485 0.7548 1
O10 0.2992 0.2515 0.2548 1
O11 0.4957 0.6103 0.4303 1
O12 0.4957 0.8897 0.9303 1
O13 0.5043 0.1103 0.0697 1
O14 0.5043 0.3897 0.5697 1
O15 0.7008 0.7485 0.7452 1
O16 0.7008 0.7515 0.2452 1
O17 0.7120 0.0166 0.7068 1
O18 0.7120 0.4834 0.2068 1
O19 0.7880 0.5166 0.7068 1
O20 0.7880 0.9834 0.2068 1
O21 0.7992 0.2485 0.7452 1
O22 0.7992 0.2515 0.2452 1
O23 0.9957 0.6103 0.0697 1
O24 0.9957 0.8897 0.5697 1
```

The calculation puts the total energy at -27.09 eV per atom.

***

Record 3
VASP calculation (meta-GGA SCAN) on a crystal of BiMo2PO relaxed with PBEsol.

CIF file:
```
data_BiMo2PO
_cell_length_a 4.7684
_cell_length_b 4.7684
_cell_length_c 3.4986
_cell_angle_alpha 90.00
_cell_angle_beta 90.00
_cell_angle_gamma 90.00
_symmetry_space_group_name_H-M 'P 1'
_symmetry_Int_Tables_number 1
_symmetry_space_group_name_Hall 'P 1'
loop_
_atom_site_label
_atom_site_fract_x
_atom_site_fract_y
_atom_site_fract_z
_atom_site_occupancy
Bi1 0.0000 0.0000 0.0000 1
Mo1 0.0000 0.5000 0.5000 1
Mo2 0.5000 0.0000 0.5000 1
P1 0.5000 0.5000 0.5000 1
O1 0.5000 0.5000 0.0000 1
```

The calculation puts the total energy at -32.71 eV per atom.

***

Record 4
VASP calculation (meta-GGA SCAN) on a crystal of BiMoPO2 relaxed with PBEsol.

CIF file:
```
data_BiMoPO2
_cell_length_a 4.0819
_cell_length_b 4.0819
_cell_length_c 5.4233
_cell_angle_alpha 90.00
_cell_angle_beta 90.00
_cell_angle_gamma 90.00
_symmetry_space_group_name_H-M 'P 1'
_symmetry_Int_Tables_number 1
_symmetry_space_group_name_Hall 'P 1'
loop_
_atom_site_label
_atom_site_fract_x
_atom_site_fract_y
_atom_site_fract_z
_atom_site_occupancy
Bi1 0.0000 0.0000 0.0000 1
Mo1 0.5000 0.5000 0.5000 1
P1 0.0000 0.0000 0.5000 1
O1 0.0000 0.5000 0.0000 1
O2 0.5000 0.0000 0.0000 1
```

The calculation puts the total energy at -26.82 eV per atom.

***

Record 5
VASP calculation (meta-GGA SCAN) on a crystal of Rb2BiMoPO8 relaxed with PBEsol.

CIF file:
```
data_Rb2BiMoPO8
_cell_length_a 12.4509
_cell_length_b 12.4509
_cell_length_c 12.4509
_cell_angle_alpha 146.92
_cell_angle_beta 120.02
_cell_angle_gamma 70.24
_symmetry_space_group_name_H-M 'P 1'
_symmetry_Int_Tables_number 1
_symmetry_space_group_name_Hall 'P 1'
loop_
_atom_site_label
_atom_site_fract_x
_atom_site_fract_y
_atom_site_fract_z
_atom_site_occupancy
Rb1 0.0738 0.6923 0.4521 1
Rb2 0.2401 0.1923 0.1184 1
Rb3 0.2599 0.3783 0.9521 1
Rb4 0.4262 0.8783 0.6184 1
Rb5 0.5738 0.1217 0.3816 1
Rb6 0.7401 0.6217 0.0479 1
Rb7 0.7599 0.8077 0.8816 1
Rb8 0.9262 0.3077 0.5479 1
Bi1 0.1707 0.7500 0.9207 1
Bi2 0.3293 0.2500 0.5793 1
Bi3 0.6707 0.7500 0.4207 1
Bi4 0.8293 0.2500 0.0793 1
Mo1 0.0872 0.8372 0.2500 1
Mo2 0.4128 0.6628 0.7500 1
Mo3 0.5872 0.3372 0.2500 1
Mo4 0.9128 0.1628 0.7500 1
P1 0.0723 0.2500 0.3223 1
P2 0.4277 0.7500 0.1777 1
P3 0.5723 0.2500 0.8223 1
P4 0.9277 0.7500 0.6777 1
O1 0.0586 0.3363 0.2745 1
O2 0.0619 0.8363 0.7778 1
O3 0.0728 0.1542 0.8035 1
O4 0.1048 0.6836 0.0164 1
O5 0.1409 0.4085 0.5700 1
O6 0.1493 0.7307 0.3035 1
O7 0.1614 0.0915 0.2324 1
O8 0.1672 0.0884 0.4836 1
O9 0.3328 0.8164 0.9212 1
O10 0.3386 0.5710 0.9300 1
O11 0.3507 0.6542 0.5814 1
O12 0.3591 0.9290 0.2676 1
O13 0.3952 0.4116 0.5788 1
O14 0.4272 0.2307 0.0814 1
O15 0.4381 0.2159 0.7745 1
O16 0.4414 0.7159 0.2778 1
O17 0.5586 0.2841 0.7222 1
O18 0.5619 0.7841 0.2255 1
O19 0.5728 0.7693 0.9186 1
O20 0.6048 0.5884 0.4212 1
O21 0.6409 0.0710 0.7324 1
O22 0.6493 0.3458 0.4186 1
O23 0.6614 0.4290 0.0700 1
O24 0.6672 0.1836 0.0788 1
O25 0.8328 0.9116 0.5164 1
O26 0.8386 0.9085 0.7676 1
O27 0.8507 0.2693 0.6965 1
O28 0.8591 0.5915 0.4300 1
O29 0.8952 0.3164 0.9836 1
O30 0.9272 0.8458 0.1965 1
O31 0.9381 0.1637 0.2222 1
O32 0.9414 0.6637 0.7255 1
```

The calculation puts the total energy at -18.76 eV per atom.

***

Record 6
VASP calculation (meta-GGA SCAN) on a crystal of TlBiMo2O8 relaxed with PBEsol.

CIF file:
```
data_TlBiMo2O8
_cell_length_a 11.6186
_cell_length_b 11.7490
_cell_length_c 5.2283
_cell_angle_alpha 90.00
_cell_angle_beta 92.81
_cell_angle_gamma 90.00
_symmetry_space_group_name_H-M 'P 1'
_symmetry_Int_Tables_number 1
_symmetry_space_group_name_Hall 'P 1'
loop_
_atom_site_label
_atom_site_fract_x
_atom_site_fract_y
_atom_site_fract_z
_atom_site_occupancy
Tl1 0.1199 0.1258 0.4824 1
Tl2 0.1199 0.3742 0.9824 1
Tl3 0.8801 0.6258 0.0176 1
Tl4 0.8801 0.8742 0.5176 1
Bi1 0.3802 0.6245 0.9891 1
Bi2 0.3802 0.8755 0.4891 1
Bi3 0.6198 0.1245 0.5109 1
Bi4 0.6198 0.3755 0.0109 1
Mo1 0.1531 0.6481 0.4960 1
Mo2 0.1531 0.8519 0.9960 1
Mo3 0.3876 0.1176 0.9775 1
Mo4 0.3876 0.3824 0.4775 1
Mo5 0.6124 0.6176 0.5225 1
Mo6 0.6124 0.8824 0.0225 1
Mo7 0.8469 0.1481 0.0040 1
Mo8 0.8469 0.3519 0.5040 1
O1 0.0601 0.7230 0.6944 1
O2 0.0601 0.7770 0.1944 1
O3 0.0744 0.5520 0.3126 1
O4 0.0744 0.9480 0.8126 1
O5 0.2316 0.5579 0.7229 1
O6 0.2316 0.9421 0.2229 1
O7 0.2738 0.7110 0.3101 1
O8 0.2738 0.7890 0.8101 1
O9 0.2821 0.2017 0.0971 1
O10 0.2821 0.2983 0.5971 1
O11 0.3195 0.0326 0.7337 1
O12 0.3195 0.4674 0.2337 1
O13 0.4541 0.0376 0.2418 1
O14 0.4541 0.4624 0.7418 1
O15 0.4993 0.2032 0.8458 1
O16 0.4993 0.2968 0.3458 1
O17 0.5007 0.7032 0.6542 1
O18 0.5007 0.7968 0.1542 1
O19 0.5459 0.5376 0.2582 1
O20 0.5459 0.9624 0.7582 1
O21 0.6805 0.5326 0.7663 1
O22 0.6805 0.9674 0.2663 1
O23 0.7179 0.7017 0.4029 1
O24 0.7179 0.7983 0.9029 1
O25 0.7262 0.2110 0.1899 1
O26 0.7262 0.2890 0.6899 1
O27 0.7684 0.0579 0.7771 1
O28 0.7684 0.4421 0.2771 1
O29 0.9256 0.0520 0.1874 1
O30 0.9256 0.4480 0.6874 1
O31 0.9399 0.2230 0.8056 1
O32 0.9399 0.2770 0.3056 1
```

The calculation puts the total energy at -24.39 eV per atom.

***

Record 7
VASP calculation (meta-GGA SCAN) on a crystal of BiMoOs3 relaxed with PBEsol.

CIF file:
```
data_BiMoOs3
_cell_length_a 4.8197
_cell_length_b 4.8197
_cell_length_c 4.8197
_cell_angle_alpha 90.00
_cell_angle_beta 90.00
_cell_angle_gamma 90.00
_symmetry_space_group_name_H-M 'P 1'
_symmetry_Int_Tables_number 1
_symmetry_space_group_name_Hall 'P 1'
loop_
_atom_site_label
_atom_site_fract_x
_atom_site_fract_y
_atom_site_fract_z
_atom_site_occupancy
Bi1 0.0000 0.0000 0.0000 1
Mo1 0.5000 0.5000 0.5000 1
Os1 0.0000 0.0000 0.5000 1
Os2 0.0000 0.5000 0.0000 1
Os3 0.5000 0.0000 0.0000 1
```

As for the energy of formation: 3348 meV per atom.

***

Record 8
VASP calculation (meta-GGA SCAN) on a crystal of BiMo2OsRh relaxed with PBEsol.

CIF file:
```
data_BiMo2OsRh
_cell_length_a 4.9022
_cell_length_b 4.9022
_cell_length_c 4.6855
_cell_angle_alpha 90.00
_cell_angle_beta 90.00
_cell_angle_gamma 90.00
_symmetry_space_group_name_H-M 'P 1'
_symmetry_Int_Tables_number 1
_symmetry_space_group_name_Hall 'P 1'
loop_
_atom_site_label
_atom_site_fract_x
_atom_site_fract_y
_atom_site_fract_z
_atom_site_occupancy
Bi1 0.0000 0.0000 0.0000 1
Mo1 0.0000 0.5000 0.0000 1
Mo2 0.5000 0.0000 0.0000 1
Os1 0.5000 0.5000 0.5000 1
Rh1 0.0000 0.0000 0.5000 1
```

As for the energy of formation: 2915 meV per atom.